This record from Alexandria describes Cs2PdAuI6 after structural relaxation. The functional is PBE.

As for the uncorrected formation energy: -0.70 eV per atom. The magnetic moment is 0.0 μB per formula unit. The value obtained for the total energy is -2.65 eV/atom. The space group is I4/mmm.

```
Cs2PdAuI6
1.0
-4.122 4.122 5.719
4.122 -4.122 5.719
4.122 4.122 -5.719
Cs Pd Au I
2 1 1 6
direct
0.250 0.750 0.500
0.750 0.250 0.500
0.000 0.000 0.000
0.500 0.500 0.000
0.237 0.237 0.475
0.237 0.763 0.000
0.256 0.256 0.000
0.744 0.744 0.000
0.763 0.237 0.000
0.763 0.763 0.525
```